1.
# Ba2Sr2Tl PBE relaxed
# Uncorrected energy: -1.938 eV per atom
data_Ba2Sr2Tl
_chemical_formula_sum 'Ba4 Sr4 Tl2'
_symmetry_space_group_name_H-M 'P 4/m b m'
_symmetry_Int_Tables_number 127
_symmetry_space_group_name_Hall '-P 4 2ab'
_cell_length_a 8.877
_cell_length_b 8.877
_cell_length_c 6.686
_cell_angle_alpha 90.00
_cell_angle_beta 90.00
_cell_angle_gamma 90.00
loop_
_atom_site_label
_atom_site_fract_x
_atom_site_fract_y
_atom_site_fract_z
Ba1 0.175 0.325 0.000
Sr1 0.154 0.654 0.500
Tl1 0.000 0.000 0.500


2.
# Ba3Sr4Tl PBE relaxed
# Uncorrected energy: -1.947 eV per atom
data_Ba3Sr4Tl
_chemical_formula_sum 'Ba3 Sr4 Tl1'
_symmetry_space_group_name_H-M 'P 4/m m m'
_symmetry_Int_Tables_number 123
_symmetry_space_group_name_Hall '-P 4 2'
_cell_length_a 4.237
_cell_length_b 4.237
_cell_length_c 23.645
_cell_angle_alpha 90.00
_cell_angle_beta 90.00
_cell_angle_gamma 90.00
loop_
_atom_site_label
_atom_site_fract_x
_atom_site_fract_y
_atom_site_fract_z
Ba1 0.000 0.000 0.000
Ba2 0.000 0.000 0.276
Sr1 0.500 0.500 0.137
Sr2 0.500 0.500 0.417
Tl1 0.000 0.000 0.500


3.
# Ba3Sr5Tl2 PBE relaxed
# Uncorrected energy: -2.031 eV per atom
data_Ba3Sr5Tl2
_chemical_formula_sum 'Ba6 Sr10 Tl4'
_symmetry_space_group_name_H-M 'P 4/m b m'
_symmetry_Int_Tables_number 127
_symmetry_space_group_name_Hall '-P 4 2ab'
_cell_length_a 13.335
_cell_length_b 13.335
_cell_length_c 5.595
_cell_angle_alpha 90.00
_cell_angle_beta 90.00
_cell_angle_gamma 90.00
loop_
_atom_site_label
_atom_site_fract_x
_atom_site_fract_y
_atom_site_fract_z
Ba1 0.000 0.000 0.000
Ba2 0.165 0.335 0.000
Sr1 0.000 0.500 0.500
Sr2 0.078 0.783 0.500
Tl1 0.122 0.622 0.000


4.
# BaSr5Tl PBE relaxed
# Uncorrected energy: -1.881 eV per atom
data_BaSr5Tl
_chemical_formula_sum 'Ba1 Sr5 Tl1'
_symmetry_space_group_name_H-M 'P 4/m m m'
_symmetry_Int_Tables_number 123
_symmetry_space_group_name_Hall '-P 4 2'
_cell_length_a 5.870
_cell_length_b 5.870
_cell_length_c 10.495
_cell_angle_alpha 90.00
_cell_angle_beta 90.00
_cell_angle_gamma 90.00
loop_
_atom_site_label
_atom_site_fract_x
_atom_site_fract_y
_atom_site_fract_z
Ba1 0.000 0.000 0.000
Sr1 0.000 0.500 0.315
Sr2 0.500 0.500 0.000
Tl1 0.500 0.500 0.500


5.
# BaSr2Tl2 PBE relaxed
# Uncorrected energy: -2.328 eV per atom
data_BaSr2Tl2
_chemical_formula_sum 'Ba2 Sr4 Tl4'
_symmetry_space_group_name_H-M 'P 4/m b m'
_symmetry_Int_Tables_number 127
_symmetry_space_group_name_Hall '-P 4 2ab'
_cell_length_a 9.491
_cell_length_b 9.491
_cell_length_c 4.504
_cell_angle_alpha 90.00
_cell_angle_beta 90.00
_cell_angle_gamma 90.00
loop_
_atom_site_label
_atom_site_fract_x
_atom_site_fract_y
_atom_site_fract_z
Ba1 0.000 0.000 0.000
Sr1 0.161 0.339 0.500
Tl1 0.130 0.630 0.000


6.
# Ba2SrTl9 PBE relaxed
# Uncorrected energy: -2.451 eV per atom
data_Ba2SrTl9
_chemical_formula_sum 'Ba6 Sr3 Tl27'
_symmetry_space_group_name_H-M 'R -3 m'
_symmetry_Int_Tables_number 166
_symmetry_space_group_name_Hall '-R 3 2"'
_cell_length_a 6.5456
_cell_length_b 6.5456
_cell_length_c 33.4362
_cell_angle_alpha 90.00
_cell_angle_beta 90.00
_cell_angle_gamma 120.00
loop_
_atom_site_label
_atom_site_fract_x
_atom_site_fract_y
_atom_site_fract_z
Ba1 0.0000 0.0000 0.1374
Sr1 0.0000 0.0000 0.0000
Tl1 0.0000 0.0000 0.3352
Tl2 0.0000 0.0000 0.5000
Tl3 0.0044 0.5022 0.9168


7.
# BaSr3Tl PBE relaxed
# Uncorrected energy: -1.950 eV per atom
data_BaSr3Tl
_chemical_formula_sum 'Ba1 Sr3 Tl1'
_symmetry_space_group_name_H-M 'P m -3 m'
_symmetry_Int_Tables_number 221
_symmetry_space_group_name_Hall '-P 4 2 3'
_cell_length_a 6.513
_cell_length_b 6.513
_cell_length_c 6.513
_cell_angle_alpha 90.00
_cell_angle_beta 90.00
_cell_angle_gamma 90.00
loop_
_atom_site_label
_atom_site_fract_x
_atom_site_fract_y
_atom_site_fract_z
Ba1 0.000 0.000 0.000
Sr1 0.000 0.500 0.500
Tl1 0.500 0.500 0.500


8.
# BaSr2Tl PBE relaxed
# Uncorrected energy: -2.117 eV per atom
data_BaSr2Tl
_chemical_formula_sum 'Ba1 Sr2 Tl1'
_symmetry_space_group_name_H-M 'P 4/m m m'
_symmetry_Int_Tables_number 123
_symmetry_space_group_name_Hall '-P 4 2'
_cell_length_a 4.166
_cell_length_b 4.166
_cell_length_c 10.749
_cell_angle_alpha 90.00
_cell_angle_beta 90.00
_cell_angle_gamma 90.00
loop_
_atom_site_label
_atom_site_fract_x
_atom_site_fract_y
_atom_site_fract_z
Ba1 0.000 0.000 0.000
Sr1 0.500 0.500 0.316
Tl1 0.000 0.000 0.500


9.
# Ba4SrTl PBE relaxed
# Uncorrected energy: -2.090 eV per atom
data_Ba4SrTl
_chemical_formula_sum 'Ba4 Sr1 Tl1'
_symmetry_space_group_name_H-M 'P 4/m m m'
_symmetry_Int_Tables_number 123
_symmetry_space_group_name_Hall '-P 4 2'
_cell_length_a 4.351
_cell_length_b 4.351
_cell_length_c 17.375
_cell_angle_alpha 90.00
_cell_angle_beta 90.00
_cell_angle_gamma 90.00
loop_
_atom_site_label
_atom_site_fract_x
_atom_site_fract_y
_atom_site_fract_z
Ba1 0.000 0.000 0.117
Ba2 0.500 0.500 0.319
Sr1 0.000 0.000 0.500
Tl1 0.500 0.500 0.000


10.
# Ba12Sr3Tl PBE relaxed
# Uncorrected energy: -1.911 eV per atom
data_Ba12Sr3Tl
_chemical_formula_sum 'Ba12 Sr3 Tl1'
_symmetry_space_group_name_H-M 'P 4/m m m'
_symmetry_Int_Tables_number 123
_symmetry_space_group_name_Hall '-P 4 2'
_cell_length_a 6.157
_cell_length_b 6.157
_cell_length_c 24.585
_cell_angle_alpha 90.00
_cell_angle_beta 90.00
_cell_angle_gamma 90.00
loop_
_atom_site_label
_atom_site_fract_x
_atom_site_fract_y
_atom_site_fract_z
Ba1 0.000 0.000 0.000
Ba2 0.000 0.000 0.235
Ba3 0.000 0.000 0.500
Ba4 0.000 0.500 0.103
Ba5 0.000 0.500 0.369
Sr1 0.500 0.500 0.238
Sr2 0.500 0.500 0.500
Tl1 0.500 0.500 0.000


11.
# Ba3Sr3Tl4 PBE relaxed
# Uncorrected energy: -2.359 eV per atom
data_Ba3Sr3Tl4
_chemical_formula_sum 'Ba6 Sr6 Tl8'
_symmetry_space_group_name_H-M 'A m m 2'
_symmetry_Int_Tables_number 38
_cell_length_a 4.423
_cell_length_b 13.754
_cell_length_c 13.830
_cell_angle_alpha 90.00
_cell_angle_beta 90.00
_cell_angle_gamma 90.00
loop_
_symmetry_equiv_pos_as_xyz
'x,y,z'
'-x,-y,z'
'-x,y,z'
'x,-y,z'
'x,y+1/2,z+1/2'
'-x,-y+1/2,z+1/2'
'-x,y+1/2,z+1/2'
'x,-y+1/2,z+1/2'
loop_
_atom_site_label
_atom_site_fract_x
_atom_site_fract_y
_atom_site_fract_z
Ba1 0.000 0.000 0.000
Ba2 0.000 0.161 0.655
Sr1 0.000 0.000 0.320
Sr2 0.500 0.248 0.405
Tl1 0.500 0.000 0.516
Tl2 0.500 0.000 0.793
Tl3 0.500 0.131 0.165


12.
# BaSr3Tl4 PBE relaxed
# Uncorrected energy: -2.476 eV per atom
data_BaSr3Tl4
_chemical_formula_sum 'Ba2 Sr6 Tl8'
_symmetry_space_group_name_H-M 'P m m a'
_symmetry_Int_Tables_number 51
_cell_length_a 11.693
_cell_length_b 8.379
_cell_length_c 5.844
_cell_angle_alpha 90.00
_cell_angle_beta 90.00
_cell_angle_gamma 90.00
loop_
_symmetry_equiv_pos_as_xyz
'x,y,z'
'-x,-y,-z'
'-x+1/2,-y,z'
'x+1/2,y,-z'
'x+1/2,-y,-z'
'-x+1/2,y,z'
'-x,y,-z'
'x,-y,z'
loop_
_atom_site_label
_atom_site_fract_x
_atom_site_fract_y
_atom_site_fract_z
Ba1 0.000 0.000 0.000
Sr1 0.000 0.500 0.000
Sr2 0.250 0.000 0.499
Sr3 0.250 0.500 0.499
Tl1 0.000 0.265 0.500
Tl2 0.250 0.265 0.998


13.
# BaSr2Tl PBE relaxed
# Uncorrected energy: -2.023 eV per atom
data_BaSr2Tl
_chemical_formula_sum 'Ba2 Sr4 Tl2'
_symmetry_space_group_name_H-M 'I -4 m 2'
_symmetry_Int_Tables_number 119
_symmetry_space_group_name_Hall 'I -4 -2'
_cell_length_a 6.247
_cell_length_b 6.247
_cell_length_c 8.918
_cell_angle_alpha 90.00
_cell_angle_beta 90.00
_cell_angle_gamma 90.00
loop_
_atom_site_label
_atom_site_fract_x
_atom_site_fract_y
_atom_site_fract_z
Ba1 0.000 0.000 0.000
Sr1 0.000 0.000 0.500
Sr2 0.000 0.500 0.750
Tl1 0.000 0.500 0.250


14.
# BaSrTl6 PBE relaxed
# Uncorrected energy: -2.497 eV per atom
data_BaSrTl6
_chemical_formula_sum 'Ba2 Sr2 Tl12'
_symmetry_space_group_name_H-M 'A m m 2'
_symmetry_Int_Tables_number 38
_cell_length_a 5.451
_cell_length_b 7.709
_cell_length_c 12.466
_cell_angle_alpha 90.00
_cell_angle_beta 90.00
_cell_angle_gamma 90.00
loop_
_symmetry_equiv_pos_as_xyz
'x,y,z'
'-x,-y,z'
'-x,y,z'
'x,-y,z'
'x,y+1/2,z+1/2'
'-x,-y+1/2,z+1/2'
'-x,y+1/2,z+1/2'
'x,-y+1/2,z+1/2'
loop_
_atom_site_label
_atom_site_fract_x
_atom_site_fract_y
_atom_site_fract_z
Ba1 0.000 0.000 0.000
Sr1 0.500 0.000 0.698
Tl1 0.000 0.000 0.517
Tl2 0.000 0.219 0.263
Tl3 0.500 0.000 0.189
Tl4 0.500 0.215 0.436


15.
# Ba2SrTl2 PBE relaxed
# Uncorrected energy: -2.378 eV per atom
data_Ba2SrTl2
_chemical_formula_sum 'Ba4 Sr2 Tl4'
_symmetry_space_group_name_H-M 'P 4/m b m'
_symmetry_Int_Tables_number 127
_symmetry_space_group_name_Hall '-P 4 2ab'
_cell_length_a 9.849
_cell_length_b 9.849
_cell_length_c 4.454
_cell_angle_alpha 90.00
_cell_angle_beta 90.00
_cell_angle_gamma 90.00
loop_
_atom_site_label
_atom_site_fract_x
_atom_site_fract_y
_atom_site_fract_z
Ba1 0.161 0.339 0.000
Sr1 0.000 0.000 0.500
Tl1 0.134 0.634 0.500


16.
# BaSr2Tl PBE relaxed
# Uncorrected energy: -2.049 eV per atom
data_BaSr2Tl
_chemical_formula_sum 'Ba3 Sr6 Tl3'
_symmetry_space_group_name_H-M 'R -3 m'
_symmetry_Int_Tables_number 166
_symmetry_space_group_name_Hall '-R 3 2"'
_cell_length_a 4.2819
_cell_length_b 4.2819
_cell_length_c 36.9296
_cell_angle_alpha 90.00
_cell_angle_beta 90.00
_cell_angle_gamma 120.00
loop_
_atom_site_label
_atom_site_fract_x
_atom_site_fract_y
_atom_site_fract_z
Ba1 0.0000 0.0000 0.0000
Sr1 0.0000 0.0000 0.2329
Tl1 0.0000 0.0000 0.5000


17.
# Ba2Sr2Tl PBE relaxed
# Uncorrected energy: -2.019 eV per atom
data_Ba2Sr2Tl
_chemical_formula_sum 'Ba8 Sr8 Tl4'
_symmetry_space_group_name_H-M 'C 1 2/m 1'
_symmetry_Int_Tables_number 12
_cell_length_a 9.249
_cell_length_b 14.848
_cell_length_c 9.034
_cell_angle_alpha 90.00
_cell_angle_beta 118.05
_cell_angle_gamma 90.00
loop_
_symmetry_equiv_pos_as_xyz
'x,y,z'
'-x,-y,-z'
'-x,y,-z'
'x,-y,z'
'x+1/2,y+1/2,z'
'-x+1/2,-y+1/2,-z'
'-x+1/2,y+1/2,-z'
'x+1/2,-y+1/2,z'
loop_
_atom_site_label
_atom_site_fract_x
_atom_site_fract_y
_atom_site_fract_z
Ba1 0.033 0.218 0.258
Sr1 0.231 0.500 0.882
Sr2 0.249 0.500 0.379
Tl1 0.000 0.386 0.500


18.
# Ba2Sr9Tl3 PBE relaxed
# Uncorrected energy: -2.040 eV per atom
data_Ba2Sr9Tl3
_chemical_formula_sum 'Ba8 Sr36 Tl12'
_symmetry_space_group_name_H-M 'C 1 2/c 1'
_symmetry_Int_Tables_number 15
_cell_length_a 18.563
_cell_length_b 10.435
_cell_length_c 14.665
_cell_angle_alpha 90.00
_cell_angle_beta 115.33
_cell_angle_gamma 90.00
loop_
_symmetry_equiv_pos_as_xyz
'x,y,z'
'-x,-y,-z'
'-x,y,-z+1/2'
'x,-y,z+1/2'
'x+1/2,y+1/2,z'
'-x+1/2,-y+1/2,-z'
'-x+1/2,y+1/2,-z+1/2'
'x+1/2,-y+1/2,z+1/2'
loop_
_atom_site_label
_atom_site_fract_x
_atom_site_fract_y
_atom_site_fract_z
Ba1 0.180 0.077 0.252
Sr1 0.000 0.321 0.250
Sr2 0.058 0.054 0.920
Sr3 0.102 0.401 0.050
Sr4 0.113 0.304 0.748
Sr5 0.228 0.410 0.428
Tl1 0.092 0.252 0.508
Tl2 0.250 0.250 0.000


19.
# BaSr2Tl PBE relaxed
# Uncorrected energy: -2.039 eV per atom
data_BaSr2Tl
_chemical_formula_sum 'Ba1 Sr2 Tl1'
_symmetry_space_group_name_H-M 'P 4/m m m'
_symmetry_Int_Tables_number 123
_symmetry_space_group_name_Hall '-P 4 2'
_cell_length_a 5.503
_cell_length_b 5.503
_cell_length_c 5.723
_cell_angle_alpha 90.00
_cell_angle_beta 90.00
_cell_angle_gamma 90.00
loop_
_atom_site_label
_atom_site_fract_x
_atom_site_fract_y
_atom_site_fract_z
Ba1 0.000 0.000 0.000
Sr1 0.000 0.500 0.500
Tl1 0.500 0.500 0.000


20.
# Ba5SrTl3 PBE relaxed
# Uncorrected energy: -2.315 eV per atom
data_Ba5SrTl3
_chemical_formula_sum 'Ba10 Sr2 Tl6'
_symmetry_space_group_name_H-M 'P 63/m c m'
_symmetry_Int_Tables_number 193
_symmetry_space_group_name_Hall '-P 6c 2'
_cell_length_a 10.4503
_cell_length_b 10.4503
_cell_length_c 8.2474
_cell_angle_alpha 90.00
_cell_angle_beta 90.00
_cell_angle_gamma 120.00
loop_
_atom_site_label
_atom_site_fract_x
_atom_site_fract_y
_atom_site_fract_z
Ba1 0.0000 0.3308 0.2500
Ba2 0.3333 0.6667 0.0000
Sr1 0.0000 0.0000 0.0000
Tl1 0.0000 0.3312 0.7500


21.
# BaSr3Tl PBE relaxed
# Uncorrected energy: -2.028 eV per atom
data_BaSr3Tl
_chemical_formula_sum 'Ba2 Sr6 Tl2'
_symmetry_space_group_name_H-M 'P -1'
_symmetry_Int_Tables_number 2
_cell_length_a 4.183
_cell_length_b 10.570
_cell_length_c 11.436
_cell_angle_alpha 104.50
_cell_angle_beta 100.53
_cell_angle_gamma 90.02
loop_
_symmetry_equiv_pos_as_xyz
'x,y,z'
'-x,-y,-z'
loop_
_atom_site_label
_atom_site_fract_x
_atom_site_fract_y
_atom_site_fract_z
Ba1 0.099 0.044 0.196
Sr1 0.300 0.203 0.601
Sr2 0.322 0.604 0.644
Sr3 0.497 0.316 0.994
Tl1 0.101 0.561 0.202


22.
# Ba4SrTl2 PBE relaxed
# Uncorrected energy: -2.177 eV per atom
data_Ba4SrTl2
_chemical_formula_sum 'Ba16 Sr4 Tl8'
_symmetry_space_group_name_H-M 'C m c m'
_symmetry_Int_Tables_number 63
_symmetry_space_group_name_Hall '-C 2c 2'
_cell_length_a 6.418
_cell_length_b 11.109
_cell_length_c 18.955
_cell_angle_alpha 90.00
_cell_angle_beta 90.00
_cell_angle_gamma 90.00
loop_
_atom_site_label
_atom_site_fract_x
_atom_site_fract_y
_atom_site_fract_z
Ba1 0.000 0.000 0.000
Ba2 0.000 0.333 0.119
Ba3 0.000 0.334 0.750
Sr1 0.000 0.000 0.250
Tl1 0.000 0.334 0.569